# BaAcO2

A relaxed structure of BaAcO2 (PBE, the Alexandria database).

Geometry as POSCAR:
```
BaAcO2
1.0
-0.1325 3.2351 -2.1312
-2.0023 0.0540 -3.3186
-5.9399 2.9806 1.3687
O Ac Ba
2 1 1
Direct
0.7351 0.7351 0.7948 O
0.2649 0.2649 0.2052 O
0.0000 0.0000 0.0000 Ac
0.5000 0.5000 0.5000 Ba
```

Output
- polymorph energy (0 for the lowest one) (eV per atom) = 0.0000
- energy (eV per atom) = -6.581
- volume (Å³ per cell) = 83.3
- magnetization (μB/f.u.) = 0.000
- formation energy without anion corrections (eV per atom) = -2.5937